[1]
Material: Tb2PrCd3
Method: DFT, PBE
State: optimized geometry

## Properties
volume: 27.460 Å³ per atom
electronic total energy: -3.112 eV per atom

```
data_Tb2PrCd3
_cell_length_a 8.461
_cell_length_b 8.461
_cell_length_c 7.681
_cell_angle_alpha 90.00
_cell_angle_beta 90.00
_cell_angle_gamma 143.18
_space_group_name_H-M_alt 'P 1'
_space_group_IT_number 1
loop_
_space_group_symop_operation_xyz
'x,y,z'
loop_
_atom_site_label
_atom_site_fract_x
_atom_site_fract_y
_atom_site_fract_z
Tb1 0.000 0.000 0.000
Tb2 0.000 0.000 0.500
Tb3 0.331 0.669 0.000
Tb4 0.669 0.331 0.000
Pr1 0.334 0.666 0.500
Pr2 0.666 0.334 0.500
Cd1 0.163 0.837 0.239
Cd2 0.163 0.837 0.761
Cd3 0.500 0.500 0.239
Cd4 0.500 0.500 0.761
Cd5 0.837 0.163 0.239
Cd6 0.837 0.163 0.761
```

=====

[2]
Material: TbPr9Cd2
Method: DFT, PBE
State: optimized geometry

## Properties
volume: 32.862 Å³ per atom
electronic total energy: -4.190 eV per atom

```
data_TbPr9Cd2
_cell_length_a 5.065
_cell_length_b 5.065
_cell_length_c 15.371
_cell_angle_alpha 90.00
_cell_angle_beta 90.00
_cell_angle_gamma 90.00
_space_group_name_H-M_alt 'P 1'
_space_group_IT_number 1
loop_
_space_group_symop_operation_xyz
'x,y,z'
loop_
_atom_site_label
_atom_site_fract_x
_atom_site_fract_y
_atom_site_fract_z
Tb1 0.000 0.000 0.000
Pr1 0.000 0.500 0.172
Pr2 0.000 0.500 0.500
Pr3 0.000 0.500 0.828
Pr4 0.500 0.000 0.172
Pr5 0.500 0.000 0.500
Pr6 0.500 0.000 0.828
Pr7 0.500 0.500 0.000
Pr8 0.500 0.500 0.336
Pr9 0.500 0.500 0.664
Cd1 0.000 0.000 0.340
Cd2 0.000 0.000 0.660
```

=====

[3]
Material: Tb4Pr3Cd
Method: DFT, PBE
State: optimized geometry

## Properties
E above lowest polymorph: 24 meV/atom
volume: 32.133 Å³ per atom

```
data_Tb4Pr3Cd
_cell_length_a 11.416
_cell_length_b 7.170
_cell_length_c 6.282
_cell_angle_alpha 90.00
_cell_angle_beta 90.00
_cell_angle_gamma 90.00
_space_group_name_H-M_alt 'P 1'
_space_group_IT_number 1
loop_
_space_group_symop_operation_xyz
'x,y,z'
loop_
_atom_site_label
_atom_site_fract_x
_atom_site_fract_y
_atom_site_fract_z
Tb1 0.000 0.106 0.000
Tb2 0.000 0.868 0.523
Tb3 0.240 0.875 0.181
Tb4 0.260 0.125 0.681
Tb5 0.500 0.132 0.023
Tb6 0.500 0.894 0.500
Tb7 0.740 0.125 0.681
Tb8 0.760 0.875 0.181
Pr1 0.000 0.370 0.543
Pr2 0.233 0.381 0.185
Pr3 0.267 0.619 0.685
Pr4 0.500 0.630 0.043
Pr5 0.733 0.619 0.685
Pr6 0.767 0.381 0.185
Cd1 0.000 0.637 0.013
Cd2 0.500 0.363 0.513
```

=====

[4]
Material: Tb5Pr4Cd
Method: DFT, PBE
State: optimized geometry

## Properties
E above lowest polymorph: 0 meV/atom
volume: 32.373 Å³ per atom

```
data_Tb5Pr4Cd
_cell_length_a 4.164
_cell_length_b 4.164
_cell_length_c 18.672
_cell_angle_alpha 90.00
_cell_angle_beta 90.00
_cell_angle_gamma 90.00
_space_group_name_H-M_alt 'P 1'
_space_group_IT_number 1
loop_
_space_group_symop_operation_xyz
'x,y,z'
loop_
_atom_site_label
_atom_site_fract_x
_atom_site_fract_y
_atom_site_fract_z
Tb1 0.000 0.000 0.000
Tb2 0.000 0.000 0.206
Tb3 0.000 0.000 0.411
Tb4 0.000 0.000 0.589
Tb5 0.000 0.000 0.794
Pr1 0.500 0.500 0.103
Pr2 0.500 0.500 0.302
Pr3 0.500 0.500 0.698
Pr4 0.500 0.500 0.897
Cd1 0.500 0.500 0.500
```